(i)
Density functional theory data (GGA-PBEsol) for crystalline Ca2PbCl at its relaxed geometry.

```
Ca2PbCl
1.0
3.687 0.042 0.000
-0.054 3.687 0.000
0.000 0.000 8.019
Pb Ca Cl
1 2 1
direct
0.500 0.500 0.000
0.000 0.000 0.241
0.000 0.000 0.759
0.500 0.500 0.500
```

Results
Fermi-level density of states	1.45	states/eV per cell
SG	Cmmm, No. 65
calculated density	4.9	Mg/m³



(ii)
Density functional theory data (GGA-PBEsol) for crystalline Ca2PbCl at its relaxed geometry.

```
Ca2PbCl
1.0
3.649 0.000 0.000
0.000 4.189 0.038
0.000 -0.092 7.849
Pb Ca Cl
1 2 1
direct
0.500 0.500 0.000
0.000 0.999 0.775
0.000 0.001 0.225
0.500 0.000 0.500
```

Results
Fermi-level density of states	0.92	states/eV per cell
SG	P2/m, No. 10
calculated density	4.5	Mg/m³



Q: Which of them is the least stable? A: (i).